Entry 1:
MnBe2Cd: relaxed, GGA-PBEsol.

Output
Space group: P4mm (99)
Calculated formation energy, eV per formula unit: 0.96
DOS at the Fermi energy, states/eV per atom: 0.359

Cell: 2.7233 2.7233 6.3495 Å, 90.00 90.00 90.00°
With the nearest neighbours (Å) after each atom.
Atoms (fractional coordinates):
Be 0.0000 0.0000 0.0163  4 Be 2.22, 4 Mn 2.33
Be 0.5000 0.5000 0.1908  4 Be 2.22, 1 Mn 2.42
Mn 0.5000 0.5000 0.8101  5 Be 2.33-2.42
Cd 0.0000 0.0000 0.4829  5 Be 2.67-2.96, 4 Cd 2.72, 4 Mn 2.83

Entry 2:
MnBeCd: relaxed, GGA-PBEsol.

Output
Space group: F-43m (216)
Calculated formation energy, eV per formula unit: 1.53
DOS at the Fermi energy, states/eV per atom: 0.400

Cell: 3.9732 3.9732 3.9732 Å, 60.00 60.00 60.00°
With the nearest neighbours (Å) after each atom.
Atoms (fractional coordinates):
Be 0.2500 0.2500 0.2500  4 Mn 2.43, 4 Cd 2.43
Mn 0.5000 0.5000 0.5000  4 Be 2.43
Cd 0.0000 0.0000 0.0000  4 Be 2.43

Entry 3:
MnBe2CdO: relaxed, GGA-PBEsol.

Output
Space group: P4/mmm (123)
DOS at the Fermi energy, states/eV per atom: 0.490
Uncorrected formation energy, eV per atom: 1.465

Cell: 4.2780 4.2780 5.0692 Å, 90.00 90.00 90.00°
With the nearest neighbours (Å) after each atom.
Atoms (fractional coordinates):
Be 0.0000 0.5000 0.0000  2 Cd 2.14
Be 0.5000 0.0000 0.0000  2 Cd 2.14
Mn 0.0000 0.0000 0.5000  2 Cd 2.53
O 0.5000 0.5000 0.5000  4 Mn 3.03, 8 Be 3.32
Cd 0.0000 0.0000 0.0000  4 Be 2.14

Entry 4:
BeCd2Mo: relaxed, GGA-PBEsol.

Output
Space group: Amm2 (38)
Calculated formation energy, eV per formula unit: 1.40
DOS at the Fermi energy, states/eV per atom: 0.479

Cell: 2.8441 3.7999 6.0781 Å, 90.00 103.53 90.00°
With the nearest neighbours (Å) after each atom.
Atoms (fractional coordinates):
Be 0.9660 0.5000 0.9319  3 Cd 2.50-2.57, 4 Mo 2.51
Mo 0.5345 0.0000 0.0690  4 Be 2.51
Cd 0.8190 0.0000 0.6380  2 Be 2.57, 2 Cd 2.84
Cd 0.1776 0.5000 0.3553  1 Be 2.50

Entry 5:
BeCd2Mo: relaxed, GGA-PBEsol.

Output
Space group: I-4m2 (119)
Calculated formation energy, eV per formula unit: 2.53
DOS at the Fermi energy, states/eV per atom: 0.609

Cell: 4.0286 4.0286 4.8633 Å, 114.47 114.47 90.00°
With the nearest neighbours (Å) after each atom.
Atoms (fractional coordinates):
Be 0.2500 0.7500 0.5000  8 Cd 2.82-2.85, 4 Mo 2.82
Mo 0.5000 0.5000 0.0000  8 Cd 2.82-2.85, 4 Be 2.82
Cd 0.0000 0.0000 0.0000  4 Cd 2.82, 4 Be 2.82, 4 Mo 2.85
Cd 0.7500 0.2500 0.5000  4 Cd 2.82, 4 Mo 2.82, 4 Be 2.85

Entry 6:
BeCdMo: relaxed, GGA-PBEsol.

Output
Space group: I4mm (107)
Calculated formation energy, eV per formula unit: 1.03
DOS at the Fermi energy, states/eV per atom: 0.473

Cell: 2.7010 2.7010 6.2197 Å, 102.54 102.54 90.00°
With the nearest neighbours (Å) after each atom.
Atoms (fractional coordinates):
Be 0.9934 0.9934 0.9869  4 Mo 2.55, 4 Be 2.70, 4 Cd 2.71
Mo 0.3508 0.3508 0.7016  4 Be 2.55, 4 Mo 2.70
Cd 0.6558 0.6558 0.3115  4 Cd 2.70, 4 Be 2.71, 4 Mo 3.00

Entry 7:
BeCdMo: relaxed, GGA-PBEsol.

Output
Space group: P3m1 (156)
Calculated formation energy, eV per formula unit: 1.39
DOS at the Fermi energy, states/eV per atom: 0.533

Cell: 2.7755 2.7755 6.6944 Å, 90.00 90.00 120.00°
With the nearest neighbours (Å) after each atom.
Atoms (fractional coordinates):
Be 0.0000 0.0000 0.0136  3 Mo 2.52, 3 Cd 2.74, 6 Be 2.78
Mo 0.6667 0.3333 0.3050  3 Be 2.52, 6 Mo 2.78
Cd 0.3333 0.6667 0.6813  3 Be 2.74, 6 Cd 2.78, 3 Mo 2.99

Entry 8:
BeCdN3: relaxed, GGA-PBEsol.

Output
Space group: Pm-3m (221)
DOS at the Fermi energy, states/eV per atom: 0.322
Uncorrected formation energy, eV per atom: 2.646

Cell: 4.1433 4.1433 4.1433 Å, 90.00 90.00 90.00°
With the nearest neighbours (Å) after each atom.
Atoms (fractional coordinates):
Be 0.5000 0.5000 0.5000  12 N 2.93
N 0.0000 0.5000 0.0000  2 Cd 2.07
N 0.0000 0.0000 0.5000  2 Cd 2.07
N 0.5000 0.0000 0.0000  2 Cd 2.07
Cd 0.0000 0.0000 0.0000  6 N 2.07

Table of total magnetic moment (Bohr magnetons per cell), in record order: 2.39; 3.01; 3.83; 0.00; 0.00; 0.00; 0.00; 3.46